1.
Material: LiNbO2
Method: DFT, SCAN
State: PBEsol geometry

E_form (uncorrected): -2.55 eV/atom
DOS at the Fermi energy: 0.00 states/eV/atom
Crystal system: hexagonal

Cell lengths 2.908, 2.908, 10.422 Å; angles 90.00, 90.00, 120.00 degrees
Fractional coordinates of all 8 atoms:
Li  0.000  0.000  0.500
Li  0.000  0.000  0.000
Nb  0.333  0.667  0.750
Nb  0.667  0.333  0.250
O  0.333  0.667  0.378
O  0.333  0.667  0.122
O  0.667  0.333  0.622
O  0.667  0.333  0.878

---

2.
Material: BaMg2Ni
Method: DFT, SCAN
State: PBEsol geometry

Formation energy: 1.45 eV/f.u.
DOS at the Fermi energy: 0.43 states/eV/atom
Crystal system: orthorhombic

Cell lengths 4.201, 4.311, 5.483 Å; angles 90.00, 90.00, 90.00 degrees
Fractional coordinates of all 4 atoms:
Mg  0.000  0.000  0.000
Mg  0.500  0.500  0.000
Ba  0.000  0.500  0.500
Ni  0.500  0.000  0.500

---

3.
Material: Te2Pd2Pt
Method: DFT, SCAN
State: PBEsol geometry

E_form (uncorrected): -0.37 eV/atom
DOS at the Fermi energy: 0.66 states/eV/atom
Crystal system: orthorhombic

Cell lengths 5.456, 6.456, 6.934 Å; angles 117.75, 113.17, 90.00 degrees
Fractional coordinates of all 10 atoms:
Pd  0.606  0.747  0.213
Pd  0.394  0.253  0.787
Pd  0.894  0.535  0.787
Pd  0.106  0.465  0.213
Pt  0.750  0.000  0.000
Pt  0.250  0.000  0.000
Te  0.347  0.602  0.695
Te  0.847  0.093  0.695
Te  0.653  0.398  0.305
Te  0.153  0.907  0.305